[1]
## Mn4CuSi (PBE-GGA)

Data for a geometry-optimized Mn4CuSi structure.

## Properties
Its crystal system is cubic.

Cell: 4.6207 4.6207 4.6207 Å, 60.00 60.00 60.00°
Closest atoms and distances in Å follow each position.
Positions (direct):
Si 0.7500 0.7500 0.7500  12 Mn 2.71, 4 Cu 2.83
Mn 0.3747 0.8760 0.3747  6 Mn 2.30-2.32
Mn 0.8760 0.3747 0.3747  6 Mn 2.30-2.32
Mn 0.3747 0.3747 0.8760  6 Mn 2.30-2.32
Mn 0.3747 0.3747 0.3747  6 Mn 2.30-2.32
Cu 0.0000 0.0000 0.0000  12 Mn 2.71, 4 Si 2.83



[2]
## Mn2CuSi (PBE-GGA)

Data for a geometry-optimized Mn2CuSi structure.

## Properties
Its crystal system is tetragonal.

Cell: 4.3626 4.3626 3.7164 Å, 64.78 64.78 50.41°
Closest atoms and distances in Å follow each position.
Positions (direct):
Mn 0.4998 0.4998 0.5001  4 Si 2.55, 4 Cu 2.55, 4 Mn 2.63
Mn 0.0002 0.0002 0.9999  4 Si 2.55, 4 Cu 2.55, 4 Mn 2.63
Si 0.7500 0.7500 0.7500  8 Mn 2.55, 4 Cu 2.63
Cu 0.2500 0.2500 0.2500  8 Mn 2.55, 4 Si 2.63



[3]
## Mn2CuSi (PBE-GGA)

Data for a geometry-optimized Mn2CuSi structure.

## Properties
Its crystal system is orthorhombic.

Cell: 2.6460 3.4836 5.1550 Å, 90.00 90.00 90.00°
Closest atoms and distances in Å follow each position.
Positions (direct):
Si 0.0000 0.0000 0.5017  4 Cu 2.52, 6 Mn 2.54-2.62, 2 Si 2.65
Mn 0.0000 0.0000 0.0099  6 Mn 2.49-2.65, 2 Si 2.54-2.62, 4 Cu 2.58
Mn 0.5000 0.5000 0.2426  6 Mn 2.49-2.65, 2 Cu 2.56-2.59, 4 Si 2.56
Cu 0.5000 0.5000 0.7458  4 Si 2.52, 6 Mn 2.56-2.59, 2 Cu 2.65



[4]
## Mn2CuSi (PBE-GGA)

Data for a geometry-optimized Mn2CuSi structure.

## Properties
Its crystal system is tetragonal.

Cell: 2.7335 2.7335 6.1519 Å, 90.00 90.00 90.01°
Closest atoms and distances in Å follow each position.
Positions (direct):
Si 0.0000 0.0000 0.4888  4 Mn 2.40, 4 Cu 2.46
Mn 0.5000 0.5000 0.2567  4 Si 2.40, 4 Mn 2.43
Mn 0.0000 0.0000 0.0183  4 Mn 2.43, 4 Cu 2.60
Cu 0.5000 0.5000 0.7363  4 Si 2.46, 4 Mn 2.60, 4 Cu 2.73



[5]
## MnCu2Si (PBE-GGA)

Data for a geometry-optimized MnCu2Si structure.

## Properties
Its crystal system is tetragonal.

Cell: 3.2006 3.2006 5.0928 Å, 90.00 90.00 90.00°
Closest atoms and distances in Å follow each position.
Positions (direct):
Mn 0.5000 0.5000 0.2500  2 Si 2.55, 8 Cu 2.60
Si 0.5000 0.5000 0.7500  2 Mn 2.55, 8 Cu 2.59
Cu 0.0000 0.0000 0.9979  2 Cu 2.53-2.57, 4 Si 2.59, 4 Mn 2.60
Cu 0.0000 0.0000 0.5021  2 Cu 2.53-2.57, 4 Si 2.59, 4 Mn 2.60



[6]
## MnCu2Si (PBE-GGA)

Data for a geometry-optimized MnCu2Si structure.

## Properties
Its crystal system is monoclinic.

Cell: 4.3686 2.6005 4.3713 Å, 87.12 90.00 90.00°
Closest atoms and distances in Å follow each position.
Positions (direct):
Mn 0.5000 0.2500 0.2500  4 Si 2.49-2.60, 4 Cu 2.57, 2 Mn 2.60
Cu 0.0000 0.5409 0.5009  5 Cu 2.40-2.60, 2 Si 2.51, 2 Mn 2.57
Cu 0.0000 0.9591 0.9991  5 Cu 2.40-2.60, 2 Si 2.51, 2 Mn 2.57
Si 0.5000 0.7500 0.7500  4 Mn 2.49-2.60, 4 Cu 2.51, 2 Si 2.60



[7]
## MnCu2Si (PBE-GGA)

Data for a geometry-optimized MnCu2Si structure.

## Properties
Its crystal system is trigonal.

Cell: 8.2409 8.2409 8.2409 Å, 18.26 18.26 18.26°
Closest atoms and distances in Å follow each position.
Positions (direct):
Cu 0.0024 0.0024 0.0024  3 Si 2.52, 9 Cu 2.59-2.62
Cu 0.2491 0.2491 0.2491  3 Mn 2.58, 9 Cu 2.59-2.62
Si 0.7519 0.7519 0.7519  3 Mn 2.42, 3 Cu 2.52, 6 Si 2.62
Mn 0.4966 0.4966 0.4966  3 Si 2.42, 3 Cu 2.58, 6 Mn 2.62



[8]
## Mn2CuSi (PBE-GGA)

Data for a geometry-optimized Mn2CuSi structure.

## Properties
Its crystal system is trigonal.

Cell: 8.2031 8.2031 8.2031 Å, 18.02 18.02 18.02°
Closest atoms and distances in Å follow each position.
Positions (direct):
Mn 0.2512 0.2512 0.2512  9 Mn 2.37-2.57, 3 Si 2.46
Mn 0.9944 0.9944 0.9944  9 Mn 2.37-2.57, 3 Cu 2.64
Cu 0.7511 0.7511 0.7511  3 Si 2.54, 6 Cu 2.57, 3 Mn 2.64
Si 0.5032 0.5032 0.5032  3 Mn 2.46, 3 Cu 2.54, 6 Si 2.57



So what do the calculations give for size of the total moment? Going down the list: 0.00 4.97 0.68 0.80 3.61 2.75 1.38 0.00 μB/f.u..
So what do the calculations give for energy relative to the elements, uncorrected? Going down the list: 0.28 -0.14 -0.03 -0.02 0.09 0.00 0.06 0.05 eV/atom.
So what do the calculations give for Fermi-level density of states? Going down the list: 1.234 0.650 0.700 0.496 0.566 0.536 0.595 0.700 states/eV/atom.